(1)
A relaxed Mg5Br3 crystal. Source: the Alexandria database, functional PBE-GGA.

Cell: 10.0623 10.0623 5.6541 Å, 90.00 90.00 120.00°
Space group P6_3/mcm (No. 193)
One atom of each set of equivalent atoms:
Mg  0.0000  0.1727  0.2500 x6
Mg  0.3333  0.6667  0.0000 x4
Br  0.0000  0.3317  0.7500 x6

## Properties
**ρ**: 2.42 g/cm³
**VASP energy**: -0.0690 Ha/atom
**Relative energy among the computed polymorphs**: 7.172 kcal/mol of atoms


(2)
A relaxed Pu3H12Ir5 crystal. Source: the Alexandria database, functional PBE-GGA.

Cell: 11.7296 11.7296 11.7296 Å, 90.00 90.00 90.00°
Space group Ia-3d (No. 230)
One atom of each set of equivalent atoms:
Pu  0.0000  0.2500  0.1250 x24
H  0.0395  0.0523  0.6371 x96
Ir  0.0000  0.0000  0.0000 x16
Ir  0.0000  0.2500  0.3750 x24

## Properties
**ρ**: 14.04 g/cm³
**VASP energy**: -0.2366 Ha/atom


(3)
A relaxed BPb2Se crystal. Source: the Alexandria database, functional PBE-GGA.

Cell: 7.2139 7.2139 7.2139 Å, 90.00 90.00 90.00°
Space group Fm-3m (No. 225)
One atom of each set of equivalent atoms:
B  0.0000  0.0000  0.0000 x4
Pb  0.2500  0.2500  0.2500 x8
Se  0.0000  0.0000  0.5000 x4

## Properties
**ρ**: 8.92 g/cm³
**VASP energy**: -0.1310 Ha/atom
**Relative energy among the computed polymorphs**: 8.500 kcal/mol of atoms


(4)
A relaxed K2NaPuCl8 crystal. Source: the Alexandria database, functional PBE-GGA.

Cell: 6.5801 6.9746 9.2039 Å, 89.96 89.96 85.91°
Space group P-1 (No. 2)
One atom of each set of equivalent atoms:
K  0.0009  0.9999  0.2367 x2
Na  0.5000  0.5000  0.0000 x1
Pu  0.5000  0.5000  0.5000 x1
Cl  0.2736  0.8246  0.9994 x2
Cl  0.2771  0.3741  0.3006 x2
Cl  0.2777  0.3733  0.6997 x2
Cl  0.2806  0.8181  0.5004 x2

## Properties
**ρ**: 2.48 g/cm³
**VASP energy**: -0.1593 Ha/atom


(5)
A relaxed Ho2InTe crystal. Source: the Alexandria database, functional PBE-GGA.

Cell: 3.6523 3.6523 8.0962 Å, 90.00 90.00 90.00°
Space group P4/mmm (No. 123)
One atom of each set of equivalent atoms:
Ho  0.0000  0.0000  0.2399 x2
In  0.5000  0.5000  0.5000 x1
Te  0.5000  0.5000  0.0000 x1

## Properties
**ρ**: 8.80 g/cm³
**VASP energy**: -0.1644 Ha/atom
**Relative energy among the computed polymorphs**: 4.088 kcal/mol of atoms


(6)
A relaxed NaLiHo crystal. Source: the Alexandria database, functional PBE-GGA.

Cell: 3.4056 3.4056 8.6973 Å, 90.00 90.00 120.00°
Space group P3m1 (No. 156)
One atom of each set of equivalent atoms:
Na  0.0000  0.0000  0.0000 x1
Li  0.3333  0.6667  0.6673 x1
Ho  0.6667  0.3333  0.3608 x1

## Properties
**Energy relative to the elements**: 167 meV per atom
**ρ**: 3.70 g/cm³
**VASP energy**: -0.0896 Ha/atom
**Relative energy among the computed polymorphs**: 0.000 kcal/mol of atoms


(7)
A relaxed Ga3AsN crystal. Source: the Alexandria database, functional PBE-GGA.

Cell: 4.9469 4.9469 4.9469 Å, 90.00 90.00 90.00°
Space group Pm-3m (No. 221)
One atom of each set of equivalent atoms:
Ga  0.0000  0.0000  0.5000 x3
As  0.0000  0.0000  0.0000 x1
N  0.5000  0.5000  0.5000 x1

## Properties
**ρ**: 4.09 g/cm³
**VASP energy**: -0.1111 Ha/atom
**Relative energy among the computed polymorphs**: 24.025 kcal/mol of atoms


(8)
A relaxed NaPC2Cl crystal. Source: the Alexandria database, functional PBE-GGA.

Cell: 4.4957 4.4957 5.4811 Å, 90.00 90.00 90.00°
Space group P4/mmm (No. 123)
One atom of each set of equivalent atoms:
Na  0.0000  0.0000  0.0000 x1
P  0.0000  0.0000  0.5000 x1
C  0.0000  0.5000  0.0000 x2
Cl  0.5000  0.5000  0.5000 x1

## Properties
**ρ**: 1.70 g/cm³
**VASP energy**: -0.0870 Ha/atom